Below is VCdCo2Br after structural relaxation, with properties calculated at the GGA-PBE level.

For the spin magnetization, the calculation gives 0.00 μB/f.u.

a = 4.2215 Å, b = 5.7677 Å, c = 4.2215 Å
α = 90.00°, β = 90.00°, γ = 90.00°
Sites, in units of the cell vectors:
V  0.0000  0.0000  0.0000
Cd  0.0000  0.5000  0.0000
Co  0.5000  0.0000  0.0000
Co  0.0000  0.0000  0.5000
Br  0.5000  0.5000  0.5000

=====

Below is CrCd2Br after structural relaxation, with properties calculated at the GGA-PBE level.

The energy above the most stable polymorph in this dataset is 27.52 kJ/mol of atoms. For the spin magnetization, the calculation gives 5.07 μB/f.u.

a = 5.1880 Å, b = 5.1880 Å, c = 5.1880 Å
α = 60.00°, β = 60.00°, γ = 60.00°
Sites, in units of the cell vectors:
Br  0.5000  0.5000  0.5000
Cd  0.2500  0.2500  0.2500
Cd  0.0000  0.0000  0.0000
Cr  0.7500  0.7500  0.7500

=====

Below is CrCdBr3 after structural relaxation, with properties calculated at the GGA-PBE level.

For the spin magnetization, the calculation gives 3.27 μB/f.u.

a = 5.1792 Å, b = 5.1792 Å, c = 5.1792 Å
α = 90.00°, β = 90.00°, γ = 90.00°
Sites, in units of the cell vectors:
Cd  0.5000  0.5000  0.5000
Br  0.0000  0.0000  0.5000
Br  0.5000  0.0000  0.0000
Br  0.0000  0.5000  0.0000
Cr  0.0000  0.0000  0.0000

=====

Below is CrCd2Br after structural relaxation, with properties calculated at the GGA-PBE level.

The energy above the most stable polymorph in this dataset is 0.00 kJ/mol of atoms. For the spin magnetization, the calculation gives 4.09 μB/f.u.

a = 8.9185 Å, b = 8.9185 Å, c = 8.9185 Å
α = 23.10°, β = 23.10°, γ = 23.10°
Sites, in units of the cell vectors:
Cd  0.9937  0.9937  0.9937
Cd  0.2424  0.2424  0.2424
Cr  0.4977  0.4977  0.4977
Br  0.7662  0.7662  0.7662

=====

Below is CrCd2Br after structural relaxation, with properties calculated at the GGA-PBE level.

The energy above the most stable polymorph in this dataset is 13.29 kJ/mol of atoms. For the spin magnetization, the calculation gives 4.74 μB/f.u.

a = 8.4284 Å, b = 8.4284 Å, c = 6.6072 Å
α = 50.37°, β = 50.37°, γ = 90.00°
Sites, in units of the cell vectors:
Cr  0.5000  0.5000  0.0000
Cr  0.2500  0.7500  0.5000
Cd  0.3750  0.3954  0.7500
Cd  0.8750  0.8546  0.7500
Cd  0.6046  0.1250  0.2500
Cd  0.1454  0.6250  0.2500
Br  0.0000  0.0000  0.0000
Br  0.7500  0.2500  0.5000

=====

Below is CrCd2Br after structural relaxation, with properties calculated at the GGA-PBE level.

The energy above the most stable polymorph in this dataset is 5.98 kJ/mol of atoms. For the spin magnetization, the calculation gives 4.10 μB/f.u.

a = 3.3751 Å, b = 3.3751 Å, c = 7.9831 Å
α = 90.00°, β = 90.00°, γ = 92.80°
Sites, in units of the cell vectors:
Br  0.5000  0.5000  0.7500
Cd  0.0000  0.0000  0.4721
Cd  0.0000  0.0000  0.0279
Cr  0.5000  0.5000  0.2500

=====

Below is Cr3CdBr after structural relaxation, with properties calculated at the GGA-PBE level.

The energy above the most stable polymorph in this dataset is 0.00 kJ/mol of atoms. For the spin magnetization, the calculation gives 0.54 μB/f.u.

a = 4.3896 Å, b = 4.3896 Å, c = 4.3896 Å
α = 90.00°, β = 90.00°, γ = 90.00°
Sites, in units of the cell vectors:
Cr  0.5000  0.0000  0.0000
Cr  0.0000  0.5000  0.0000
Cr  0.0000  0.0000  0.5000
Br  0.0000  0.0000  0.0000
Cd  0.5000  0.5000  0.5000

=====

Below is Cr3CdBr after structural relaxation, with properties calculated at the GGA-PBE level.

The energy above the most stable polymorph in this dataset is 0.46 kJ/mol of atoms. For the spin magnetization, the calculation gives 13.77 μB/f.u.

a = 5.2259 Å, b = 5.2259 Å, c = 5.2259 Å
α = 90.00°, β = 90.00°, γ = 90.00°
Sites, in units of the cell vectors:
Cr  0.5000  0.0000  0.0000
Cr  0.0000  0.5000  0.0000
Cr  0.0000  0.0000  0.5000
Br  0.5000  0.5000  0.5000
Cd  0.0000  0.0000  0.0000

=====

Looking at D(E_F) for the records above, in order, we have 6.9; 1.2; 3.3; 2.8; 3.0; 1.6; 6.4; 3.0 states/eV per cell.
Looking at ΔE_f (raw) for the records above, in order, we have 1.14; 0.39; -0.37; 0.10; 0.24; 0.16; 1.33; 1.33 eV per atom.